CsMnCuTe2 | PBE | relaxed

The structure belongs to space group Cmme (No. 67); the cell edges are 6.707, 15.536 and 6.628 Å and the angles 90.00°, 90.00° and 90.00°. The inequivalent atoms are Cs at (0.000, 0.250, 0.235), Mn at (0.250, 0.000, 0.500), Cu at (0.000, 0.000, 0.000) and Te at (0.000, 0.106, 0.723).

As for the total magnetization: 20.0 μB/cell. The uncorrected formation energy comes out at -198 kJ/mol of formula units. The value obtained for the total energy is -4.490 eV/atom.

=====

CsMnCuTe3 | PBE | relaxed

The structure belongs to space group P2_1/m (No. 11); the cell edges are 9.743, 4.098 and 10.695 Å and the angles 90.00°, 116.56° and 90.00°. The inequivalent atoms are Cs at (0.235, 0.250, 0.266), Mn at (0.316, 0.750, 0.845), Cu at (0.071, 0.250, 0.587), Te at (0.135, 0.250, 0.856), Te at (0.231, 0.750, 0.567) and Te at (0.483, 0.750, 0.129).

As for the total magnetization: 6.2 μB/cell. The uncorrected formation energy comes out at -240 kJ/mol of formula units. The value obtained for the total energy is -4.338 eV/atom.

=====

CsCu3Mo | PBE | relaxed

The structure belongs to space group Pm-3m (No. 221); the cell edges are 4.956, 4.956 and 4.956 Å and the angles 90.00°, 90.00° and 90.00°. The inequivalent atoms are Cs at (0.000, 0.000, 0.000), Cu at (0.000, 0.000, 0.500) and Mo at (0.500, 0.500, 0.500).

As for the total magnetization: 0.0 μB/cell. The value obtained for the total energy is -2.093 eV/atom. The value obtained for the formation energy is 2.701 eV/atom. The calculation puts the excess energy over the best structure of this formula in the dataset at 7.66 eV/f.u.

=====

CsCuMo3 | PBE | relaxed

The structure belongs to space group Pm-3m (No. 221); the cell edges are 4.847, 4.847 and 4.847 Å and the angles 90.00°, 90.00° and 90.00°. The inequivalent atoms are Cs at (0.000, 0.000, 0.000), Cu at (0.500, 0.500, 0.500) and Mo at (0.000, 0.500, 0.500).

As for the total magnetization: 5.5 μB/cell. The value obtained for the total energy is -5.278 eV/atom. The value obtained for the formation energy is 2.211 eV/atom. The calculation puts the excess energy over the best structure of this formula in the dataset at 0.00 eV/f.u.

=====

Cs3CuMo | PBE | relaxed

The structure belongs to space group Pm-3m (No. 221); the cell edges are 6.842, 6.842 and 6.842 Å and the angles 90.00°, 90.00° and 90.00°. The inequivalent atoms are Cs at (0.000, 0.000, 0.500), Cu at (0.000, 0.000, 0.000) and Mo at (0.500, 0.500, 0.500).

As for the total magnetization: 5.8 μB/cell. The value obtained for the total energy is -2.310 eV/atom. The value obtained for the formation energy is 1.187 eV/atom. The calculation puts the excess energy over the best structure of this formula in the dataset at 0.00 eV/f.u.

=====

CsCuMo3 | PBE | relaxed

The structure belongs to space group Pm-3m (No. 221); the cell edges are 4.877, 4.877 and 4.877 Å and the angles 90.00°, 90.00° and 90.00°. The inequivalent atoms are Cs at (0.000, 0.000, 0.000), Cu at (0.500, 0.500, 0.500) and Mo at (0.000, 0.000, 0.500).

As for the total magnetization: 0.0 μB/cell. The value obtained for the total energy is -4.167 eV/atom. The value obtained for the formation energy is 3.322 eV/atom. The calculation puts the excess energy over the best structure of this formula in the dataset at 5.56 eV/f.u.

=====

CsCu3Mo | PBE | relaxed

The structure belongs to space group Pm-3m (No. 221); the cell edges are 5.004, 5.004 and 5.004 Å and the angles 90.00°, 90.00° and 90.00°. The inequivalent atoms are Cs at (0.000, 0.000, 0.000), Cu at (0.000, 0.500, 0.500) and Mo at (0.500, 0.500, 0.500).

As for the total magnetization: 1.8 μB/cell. The value obtained for the total energy is -3.626 eV/atom. The value obtained for the formation energy is 1.169 eV/atom. The calculation puts the excess energy over the best structure of this formula in the dataset at 0.00 eV/f.u.

=====

CsCuMoPt2 | PBE | relaxed

The structure belongs to space group P4/mmm (No. 123); the cell edges are 4.907, 4.907 and 4.850 Å and the angles 90.00°, 90.00° and 90.00°. The inequivalent atoms are Cs at (0.000, 0.000, 0.000), Cu at (0.500, 0.500, 0.500), Mo at (0.500, 0.500, 0.000) and Pt at (0.000, 0.500, 0.500).

As for the total magnetization: 4.2 μB/cell. The value obtained for the total energy is -4.484 eV/atom. The value obtained for the formation energy is 1.088 eV/atom.

=====

CsCu2SiMo | PBE | relaxed

The structure belongs to space group P4/mmm (No. 123); the cell edges are 5.097, 5.097 and 4.798 Å and the angles 90.00°, 90.00° and 90.00°. The inequivalent atoms are Cs at (0.000, 0.000, 0.000), Cu at (0.000, 0.500, 0.500), Si at (0.500, 0.500, 0.000) and Mo at (0.500, 0.500, 0.500).

As for the total magnetization: 0.0 μB/cell. The uncorrected formation energy comes out at 411 kJ/mol of formula units. The value obtained for the total energy is -4.208 eV/atom.

=====

Cs3CuN | PBE | relaxed

The structure belongs to space group Pm-3m (No. 221); the cell edges are 6.606, 6.606 and 6.606 Å and the angles 90.00°, 90.00° and 90.00°. The inequivalent atoms are Cs at (0.000, 0.000, 0.500), Cu at (0.000, 0.000, 0.000) and N at (0.500, 0.500, 0.500).

As for the total magnetization: 1.1 μB/cell. The uncorrected formation energy comes out at 502 kJ/mol of formula units. The value obtained for the total energy is -1.955 eV/atom.

=====

CsCuN2O | PBE | relaxed

The structure belongs to space group P4/mmm (No. 123); the cell edges are 4.723, 4.723 and 4.432 Å and the angles 90.00°, 90.00° and 90.00°. The inequivalent atoms are Cs at (0.000, 0.000, 0.000), Cu at (0.500, 0.500, 0.500), N at (0.000, 0.500, 0.000) and O at (0.000, 0.000, 0.500).

As for the total magnetization: 3.0 μB/cell. The uncorrected formation energy comes out at 1245 kJ/mol of formula units. The value obtained for the total energy is -2.732 eV/atom.

=====

CsCuNO2 | PBE | relaxed

The structure belongs to space group P4/mmm (No. 123); the cell edges are 4.399, 4.399 and 4.360 Å and the angles 90.00°, 90.00° and 90.00°. The inequivalent atoms are Cs at (0.000, 0.000, 0.000), Cu at (0.500, 0.500, 0.500), N at (0.000, 0.000, 0.500) and O at (0.000, 0.500, 0.000).

As for the total magnetization: 0.0 μB/cell. The uncorrected formation energy comes out at 888 kJ/mol of formula units. The value obtained for the total energy is -2.797 eV/atom.

=====

Cs2CuPN | PBE | relaxed

The structure belongs to space group P4/mmm (No. 123); the cell edges are 6.771, 6.771 and 3.582 Å and the angles 90.00°, 90.00° and 90.00°. The inequivalent atoms are Cs at (0.000, 0.500, 0.000), Cu at (0.000, 0.000, 0.500), P at (0.500, 0.500, 0.000) and N at (0.500, 0.500, 0.500).

As for the total magnetization: 0.0 μB/cell. The uncorrected formation energy comes out at 198 kJ/mol of formula units. The value obtained for the total energy is -3.497 eV/atom.

=====

CsCuS2N | PBE | relaxed

The structure belongs to space group P4/mmm (No. 123); the cell edges are 5.264, 5.264 and 3.836 Å and the angles 90.00°, 90.00° and 90.00°. The inequivalent atoms are Cs at (0.000, 0.000, 0.000), Cu at (0.500, 0.500, 0.500), S at (0.000, 0.500, 0.500) and N at (0.500, 0.500, 0.000).

As for the total magnetization: 0.4 μB/cell. The uncorrected formation energy comes out at 350 kJ/mol of formula units. The value obtained for the total energy is -3.581 eV/atom.

=====

Cs2ScCuN | PBE | relaxed

The structure belongs to space group P4/mmm (No. 123); the cell edges are 7.283, 7.283 and 4.813 Å and the angles 90.00°, 90.00° and 90.00°. The inequivalent atoms are Cs at (0.000, 0.500, 0.000), Sc at (0.000, 0.000, 0.000), Cu at (0.000, 0.000, 0.500) and N at (0.500, 0.500, 0.500).

As for the total magnetization: 3.5 μB/cell. The uncorrected formation energy comes out at 725 kJ/mol of formula units. The value obtained for the total energy is -2.590 eV/atom.

=====

CsCuSe2N | PBE | relaxed

The structure belongs to space group P4/mmm (No. 123); the cell edges are 6.008, 6.008 and 4.802 Å and the angles 90.00°, 90.00° and 90.00°. The inequivalent atoms are Cs at (0.000, 0.000, 0.000), Cu at (0.500, 0.500, 0.500), Se at (0.000, 0.500, 0.000) and N at (0.000, 0.000, 0.500).

As for the total magnetization: 3.3 μB/cell. The uncorrected formation energy comes out at 959 kJ/mol of formula units. The value obtained for the total energy is -2.062 eV/atom.

=====

CsCu2SeN | PBE | relaxed

The structure belongs to space group P4/mmm (No. 123); the cell edges are 5.964, 5.964 and 5.970 Å and the angles 90.00°, 90.00° and 90.00°. The inequivalent atoms are Cs at (0.000, 0.000, 0.000), Cu at (0.000, 0.500, 0.000), Se at (0.000, 0.000, 0.500) and N at (0.500, 0.500, 0.500).

As for the total magnetization: 3.0 μB/cell. The uncorrected formation energy comes out at 1118 kJ/mol of formula units. The value obtained for the total energy is -1.854 eV/atom.

=====

Cs2SrCuN | PBE | relaxed

The structure belongs to space group P4/mmm (No. 123); the cell edges are 7.112, 7.112 and 3.693 Å and the angles 90.00°, 90.00° and 90.00°. The inequivalent atoms are Cs at (0.000, 0.500, 0.000), Sr at (0.000, 0.000, 0.500), Cu at (0.500, 0.500, 0.500) and N at (0.500, 0.500, 0.000).

As for the total magnetization: 0.0 μB/cell. The uncorrected formation energy comes out at 263 kJ/mol of formula units. The value obtained for the total energy is -2.617 eV/atom.

=====

CsCuTeN2 | PBE | relaxed

The structure belongs to space group P4/mmm (No. 123); the cell edges are 4.368, 4.368 and 7.780 Å and the angles 90.00°, 90.00° and 90.00°. The inequivalent atoms are Cs at (0.000, 0.000, 0.000), Cu at (0.500, 0.500, 0.500), Te at (0.000, 0.000, 0.500) and N at (0.000, 0.500, 0.000).

As for the total magnetization: 2.5 μB/cell. The uncorrected formation energy comes out at 1153 kJ/mol of formula units. The value obtained for the total energy is -2.559 eV/atom.

=====

CsCuTe2N | PBE | relaxed

The structure belongs to space group P4/mmm (No. 123); the cell edges are 6.511, 6.511 and 3.460 Å and the angles 90.00°, 90.00° and 90.00°. The inequivalent atoms are Cs at (0.000, 0.000, 0.000), Cu at (0.500, 0.500, 0.500), Te at (0.000, 0.500, 0.500) and N at (0.500, 0.500, 0.000).

As for the total magnetization: 0.6 μB/cell. The uncorrected formation energy comes out at 222 kJ/mol of formula units. The value obtained for the total energy is -3.452 eV/atom. The calculation puts the excess energy over the best structure of this formula in the dataset at 0.00 eV/f.u.